First-principles (GGA+U) data for HfMoS2O after structural relaxation, as listed in the Alexandria database.

Unit cell a=4.762 b=4.762 c=6.233 alpha=90.00 beta=90.00 gamma=90.00
Space group P4/mmm (No. 123)
Asymmetric unit:
Hf 0.000 0.000 0.000 (multiplicity 1)
Mo 0.000 0.000 0.500 (multiplicity 1)
S 0.000 0.500 0.000 (multiplicity 2)
O 0.500 0.500 0.500 (multiplicity 1)

Calculated values
* VASP energy: -27.36 eV/cell